# Li2MnP2O7

An optimized crystal structure of Li2MnP2O7 (PBE with a Hubbard U, Alexandria).

Cell and atoms, written as POSCAR:
```
Li2MnP2O7
1.0
5.421 0.000 0.000
-1.961 6.388 0.000
-1.392 -3.243 8.181
Li Mn P O
4 2 4 14
Cartesian
0.134 1.096 1.912
0.139 4.373 0.319
1.929 -1.229 7.862
1.934 2.049 6.270
-0.480 3.604 5.218
2.548 -0.459 2.964
-0.989 -1.572 7.115
-0.102 0.245 4.849
2.169 2.900 3.332
3.057 4.717 1.066
-0.945 0.329 3.581
-1.065 -0.395 5.991
0.126 2.356 0.281
-1.181 5.635 1.411
0.398 -2.217 7.054
1.133 -0.672 4.687
0.272 1.612 5.422
1.796 1.532 2.759
0.935 3.817 3.494
1.669 5.362 1.127
3.249 -2.490 6.771
1.942 0.789 7.900
3.133 3.540 2.190
3.013 2.816 4.601
```

## Properties
Its total magnetization is 5.00 μB/f.u. The calculation puts the theoretical density at 2.85 g cm⁻³. The relative energy among the computed polymorphs comes out at 33.4 meV/atom. As for the space group: P-1 (2). The value obtained for the density of states at the Fermi level is 0.0 states/eV/f.u.